## w
The following is a DFT calculation (PBE) of crystalline In2CuW at its relaxed geometry.

The structure in POSCAR format:
```
In2CuW
1.0
2.988 -4.085 0.000
2.988 4.085 0.000
0.000 0.000 2.950
In Cu W
2 1 1
Direct
0.000 0.500 0.000
0.500 0.000 0.000
0.000 0.000 0.500
0.500 0.500 0.500
```

Results
SG: Cmmm, No. 65
N(E_F) (states/eV per atom): 0.616

## x
The following is a DFT calculation (PBE) of crystalline In2CuW at its relaxed geometry.

The structure in POSCAR format:
```
In2CuW
1.0
2.904 0.000 0.000
0.000 2.904 0.000
0.000 0.000 9.026
In Cu W
2 1 1
Direct
0.000 0.000 0.000
0.500 0.500 0.329
0.500 0.500 0.769
0.000 0.000 0.577
```

Results
SG: P4mm, No. 99
N(E_F) (states/eV per atom): 0.736

Which structure is the most stable? The one labeled w.